1.
DFT (PBE-GGA) results for a relaxed MnRh2AuC crystal.

Calculated values
* energy relative to the elements: 0.062 eV/atom
* space group: No. 123
* DOS(E_F): 2.40 states/eV/cell
* magnetic moment: 3.95 μB/cell

a = 4.075 Å, b = 4.075 Å, c = 4.094 Å
α = 90.00°, β = 90.00°, γ = 90.00°
Element x y z (fractional)
Rh: 0.000 0.500 0.000
Rh: 0.500 0.000 0.000
Mn: 0.000 0.000 0.500
Au: 0.500 0.500 0.500
C: 0.000 0.000 0.000

***

2.
DFT (PBE-GGA) results for a relaxed Sc2MnAuC crystal.

Calculated values
* energy relative to the elements: -0.509 eV/atom
* space group: No. 123
* DOS(E_F): 3.32 states/eV/cell
* magnetic moment: 0.00 μB/cell

a = 4.577 Å, b = 4.577 Å, c = 3.707 Å
α = 90.00°, β = 90.00°, γ = 90.00°
Element x y z (fractional)
Sc: 0.000 0.500 0.000
Sc: 0.500 0.000 0.000
C: 0.000 0.000 0.000
Au: 0.500 0.500 0.500
Mn: 0.000 0.000 0.500